A plane-wave DFT calculation with PBE was carried out for an optimized crystal structure of Er2ZnSi4Ir3.

Output
The calculation puts the volume at 16.87 Å³ per atom. The calculation puts the formation energy without anion corrections at -867 meV per atom. The calculation puts the density of states at the Fermi level at 0.46 states/eV/atom. Its symmetry is P-4m2 (115). The total magnetization comes out at 0.000 μB/cell.

Unit cell a=4.083 b=4.083 c=10.121 alpha=90.00 beta=90.00 gamma=90.00
Atoms (fractional coordinates):
Er: 0.000 0.500 0.243
Er: 0.500 0.000 0.757
Zn: 0.000 0.000 0.500
Si: 0.000 0.000 0.000
Si: 0.000 0.500 0.640
Si: 0.500 0.000 0.360
Si: 0.500 0.500 0.000
Ir: 0.000 0.500 0.873
Ir: 0.500 0.000 0.127
Ir: 0.500 0.500 0.500

***

A plane-wave DFT calculation with PBE was carried out for an optimized crystal structure of NpUTl2Se4.

Output
The calculation puts the volume at 29.82 Å³ per atom. The calculation puts the formation energy without anion corrections at -894 meV per atom. The calculation puts the density of states at the Fermi level at 1.96 states/eV/atom. Its symmetry is P2/m (10). The total magnetization comes out at 7.000 μB/cell.

Unit cell a=7.269 b=4.196 c=8.186 alpha=90.00 beta=107.18 gamma=90.00
Atoms (fractional coordinates):
Np: 0.000 0.000 0.000
U: 0.500 0.500 0.000
Tl: 0.000 0.500 0.500
Tl: 0.500 0.000 0.500
Se: 0.237 0.500 0.204
Se: 0.268 0.000 0.796
Se: 0.732 0.000 0.204
Se: 0.763 0.500 0.796

***

A plane-wave DFT calculation with PBE was carried out for an optimized crystal structure of Tc2AsSe.

Output
The calculation puts the volume at 16.01 Å³ per atom. The calculation puts the formation energy without anion corrections at 638 meV per atom. The calculation puts the density of states at the Fermi level at 1.43 states/eV/atom. Its symmetry is F-43m (216). The total magnetization comes out at 0.004 μB/cell. The calculation puts the energy above the lowest structure with this stoichiometry at 737 meV per atom.

Unit cell a=4.491 b=4.491 c=4.491 alpha=60.00 beta=60.00 gamma=60.00
Atoms (fractional coordinates):
Tc: 0.000 0.000 0.000
Tc: 0.250 0.250 0.250
As: 0.750 0.750 0.750
Se: 0.500 0.500 0.500

***

A plane-wave DFT calculation with PBE was carried out for an optimized crystal structure of Sr2ScZn.

Output
The calculation puts the volume at 36.16 Å³ per atom. The calculation puts the density of states at the Fermi level at 1.11 states/eV/atom. Its symmetry is R3m (160). The total magnetization comes out at 0.699 μB/cell. As for the formation energy: 0.135 eV/atom.

Unit cell a=10.721 b=10.721 c=10.721 alpha=21.47 beta=21.47 gamma=21.47
Atoms (fractional coordinates):
Sr: 0.000 0.000 0.000
Sr: 0.216 0.216 0.216
Sc: 0.456 0.456 0.456
Zn: 0.739 0.739 0.739

***

A plane-wave DFT calculation with PBE was carried out for an optimized crystal structure of Al4Co3Ni.

Output
The calculation puts the volume at 11.74 Å³ per atom. The calculation puts the density of states at the Fermi level at 0.62 states/eV/atom. Its symmetry is P4/mmm (123). The total magnetization comes out at 0.002 μB/cell. As for the formation energy: -0.610 eV/atom.

Unit cell a=2.838 b=2.838 c=11.662 alpha=90.00 beta=90.00 gamma=90.00
Atoms (fractional coordinates):
Al: 0.000 0.000 0.124
Al: 0.000 0.000 0.372
Al: 0.000 0.000 0.628
Al: 0.000 0.000 0.876
Co: 0.500 0.500 0.000
Co: 0.500 0.500 0.248
Co: 0.500 0.500 0.752
Ni: 0.500 0.500 0.500

***

A plane-wave DFT calculation with PBE was carried out for an optimized crystal structure of CaCd2W.

Output
The calculation puts the volume at 22.47 Å³ per atom. The calculation puts the density of states at the Fermi level at 0.55 states/eV/atom. Its symmetry is F-43m (216). The total magnetization comes out at 3.173 μB/cell. As for the formation energy: 0.777 eV/atom. The calculation puts the energy above the lowest structure with this stoichiometry at 365 meV per atom.

Unit cell a=5.028 b=5.028 c=5.028 alpha=60.00 beta=60.00 gamma=60.00
Atoms (fractional coordinates):
Ca: 0.000 0.000 0.000
Cd: 0.250 0.250 0.250
Cd: 0.500 0.500 0.500
W: 0.750 0.750 0.750

***

A plane-wave DFT calculation with PBE was carried out for an optimized crystal structure of Ba2CdBiF.

Output
The calculation puts the volume at 32.94 Å³ per atom. The calculation puts the formation energy without anion corrections at -1392 meV per atom. The calculation puts the density of states at the Fermi level at 0.07 states/eV/atom. Its symmetry is P4/mmm (123). The total magnetization comes out at 0.000 μB/cell.

Unit cell a=5.651 b=5.651 c=5.158 alpha=90.00 beta=90.00 gamma=90.00
Atoms (fractional coordinates):
Ba: 0.000 0.500 0.000
Ba: 0.500 0.000 0.000
Cd: 0.000 0.000 0.500
Bi: 0.500 0.500 0.500
F: 0.000 0.000 0.000

***

A plane-wave DFT calculation with PBE was carried out for an optimized crystal structure of GePd2O6.

Output
The calculation puts the volume at 13.36 Å³ per atom. The calculation puts the formation energy without anion corrections at -727 meV per atom. Its symmetry is C2/m (12). The total magnetization comes out at 0.000 μB/cell.

Unit cell a=6.792 b=6.792 c=6.183 alpha=103.49 beta=103.49 gamma=25.72
Atoms (fractional coordinates):
Ge: 0.000 0.000 0.000
Pd: 0.336 0.336 0.670
Pd: 0.664 0.664 0.330
O: 0.150 0.150 0.105
O: 0.178 0.178 0.554
O: 0.493 0.493 0.790
O: 0.507 0.507 0.210
O: 0.822 0.822 0.446
O: 0.850 0.850 0.895

***

A plane-wave DFT calculation with PBE was carried out for an optimized crystal structure of EuLuGaRh.

Output
The calculation puts the volume at 21.77 Å³ per atom. The calculation puts the density of states at the Fermi level at 1.55 states/eV/atom. Its symmetry is F-43m (216). The total magnetization comes out at 6.849 μB/cell. As for the formation energy: -0.514 eV/atom.

Unit cell a=4.975 b=4.975 c=4.975 alpha=60.00 beta=60.00 gamma=60.00
Atoms (fractional coordinates):
Eu: 0.000 0.000 0.000
Lu: 0.500 0.500 0.500
Ga: 0.250 0.250 0.250
Rh: 0.750 0.750 0.750

***

A plane-wave DFT calculation with PBE was carried out for an optimized crystal structure of DyErHgTe.

Output
The calculation puts the volume at 28.59 Å³ per atom. The calculation puts the formation energy without anion corrections at -843 meV per atom. The calculation puts the density of states at the Fermi level at 0.48 states/eV/atom. Its symmetry is R3m (160). The total magnetization comes out at 0.000 μB/cell.

Unit cell a=8.139 b=8.139 c=8.139 alpha=29.31 beta=29.31 gamma=29.31
Atoms (fractional coordinates):
Dy: 0.000 0.000 0.000
Er: 0.498 0.498 0.498
Hg: 0.750 0.750 0.750
Te: 0.248 0.248 0.248

***

A plane-wave DFT calculation with PBE was carried out for an optimized crystal structure of PuPaAgPd.

Output
The calculation puts the volume at 22.81 Å³ per atom. The calculation puts the density of states at the Fermi level at 3.31 states/eV/atom. Its symmetry is F-43m (216). The total magnetization comes out at 6.842 μB/cell. As for the formation energy: -0.014 eV/atom. The calculation puts the energy above the lowest structure with this stoichiometry at 277 meV per atom.

Unit cell a=5.054 b=5.054 c=5.054 alpha=60.00 beta=60.00 gamma=60.00
Atoms (fractional coordinates):
Pu: 0.000 0.000 0.000
Pa: 0.500 0.500 0.500
Ag: 0.250 0.250 0.250
Pd: 0.750 0.750 0.750

***

A plane-wave DFT calculation with PBE was carried out for an optimized crystal structure of Pa2Re3Ni.

Output
The calculation puts the volume at 17.98 Å³ per atom. The calculation puts the density of states at the Fermi level at 0.94 states/eV/atom. Its symmetry is C2/m (12). The total magnetization comes out at 0.000 μB/cell. As for the formation energy: -0.230 eV/atom.

Unit cell a=5.219 b=5.219 c=5.373 alpha=118.52 beta=118.52 gamma=62.76
Atoms (fractional coordinates):
Pa: 0.123 0.123 0.378
Pa: 0.877 0.877 0.622
Re: 0.000 0.500 0.000
Re: 0.500 0.000 0.000
Re: 0.500 0.500 0.000
Ni: 0.500 0.500 0.500

***

A plane-wave DFT calculation with PBE was carried out for an optimized crystal structure of Ga3CuSi.

Output
The calculation puts the volume at 20.19 Å³ per atom. The calculation puts the formation energy without anion corrections at 441 meV per atom. The calculation puts the density of states at the Fermi level at 0.71 states/eV/atom. Its symmetry is Pm-3m (221). The total magnetization comes out at 0.000 μB/cell. The calculation puts the energy above the lowest structure with this stoichiometry at 0 meV per atom.

Unit cell a=4.656 b=4.656 c=4.656 alpha=90.00 beta=90.00 gamma=90.00
Atoms (fractional coordinates):
Ga: 0.000 0.000 0.500
Ga: 0.000 0.500 0.000
Ga: 0.500 0.000 0.000
Cu: 0.000 0.000 0.000
Si: 0.500 0.500 0.500